{"formula": "UTl2NiS4", "functional": "GGA-PBE", "state": "optimized geometry", "lattice_angstrom": [[6.299, 0.311, 0.479], [-2.403, 5.834, -0.478], [-2.400, -2.785, 5.145]], "species": ["U", "Tl", "Tl", "Ni", "S", "S", "S", "S"], "fractional_positions": [[0.500, 0.250, 0.750], [0.500, 0.750, 0.250], [0.000, 0.000, 0.000], [0.000, 0.500, 0.500], [0.590, 0.352, 0.413], [0.062, 0.239, 0.648], [0.939, 0.587, 0.177], [0.409, 0.823, 0.761]], "e_form_raw_ev_per_fu": -4.15, "n_ef_per_ev_atom": 0.83, "final_energy_ev_per_cell": -42.46, "rho_g_cm3": 7.11}